The following is a PBE with a Hubbard U calculation of K2CrF4 after structural relaxation, from Alexandria.

## Properties
Total energy, eV per atom: -5.002
Fermi-level density of states, states/eV/f.u.: 0.00

Lattice parameters (Å, degrees): 6.6471 6.2930 7.3299 90.00 109.78 90.00
Element x y z (fractional)
K 0.1676 0.2500 0.0372
K 0.2689 0.2500 0.5540
K 0.7311 0.7500 0.4460
K 0.8324 0.7500 0.9628
Cr 0.2730 0.7500 0.8068
Cr 0.7270 0.2500 0.1932
F 0.0490 0.5285 0.7525
F 0.0490 0.9715 0.7525
F 0.4878 0.7500 0.6606
F 0.4973 0.2500 0.9185
F 0.5027 0.7500 0.0815
F 0.5122 0.2500 0.3394
F 0.9510 0.0285 0.2475
F 0.9510 0.4715 0.2475